[1]
A relaxed structure of LiAlGeRu, computed with PBE-GGA.

a b c (Å): 4.2780 4.2780 4.2780
angles (deg): 60.00 60.00 60.00
With the nearest neighbours (Å) after each atom.
Fractional coordinates of all 4 atoms:
Ge: 0.5000 0.5000 0.5000  4 Li 2.62, 4 Ru 2.62
Li: 0.7500 0.7500 0.7500  4 Al 2.62, 4 Ge 2.62
Al: 0.0000 0.0000 0.0000  4 Li 2.62, 4 Ru 2.62
Ru: 0.2500 0.2500 0.2500  4 Ge 2.62, 4 Al 2.62

Values from the calculation:
Its space group is F-43m. For the formation enthalpy at 0 K, the calculation gives -0.343 eV/atom. The value obtained for the electronic total energy is -20.92 eV/cell.



[2]
A relaxed structure of Nb4Al2Co, computed with PBE-GGA.

a b c (Å): 4.3883 4.3883 7.8486
angles (deg): 73.77 73.77 90.00
With the nearest neighbours (Å) after each atom.
Fractional coordinates of all 7 atoms:
Al: 0.3619 0.3619 0.2763  5 Nb 2.76-2.96
Al: 0.6381 0.6381 0.7237  5 Nb 2.76-2.96
Nb: 0.8296 0.8296 0.3409  1 Co 2.46
Nb: 0.0000 0.5000 0.0000  2 Co 2.19
Nb: 0.1704 0.1704 0.6591  1 Co 2.46
Nb: 0.5000 0.0000 0.0000  2 Co 2.19
Co: 0.0000 0.0000 0.0000  6 Nb 2.19-2.46

Values from the calculation:
Its space group is I4/mmm. For the formation enthalpy at 0 K, the calculation gives 0.568 eV/atom. The value obtained for the electronic total energy is -50.89 eV/cell.



[3]
A relaxed structure of Li5Ga2Pd, computed with PBE-GGA.

a b c (Å): 4.3253 5.3775 10.5384
angles (deg): 90.00 90.00 90.00
With the nearest neighbours (Å) after each atom.
Fractional coordinates of all 16 atoms:
Ga: 0.5000 0.3231 0.1045  2 Pd 2.61, 6 Li 2.64-2.85, 1 Ga 2.91
Ga: 0.5000 0.6769 0.8955  2 Pd 2.61, 6 Li 2.64-2.85, 1 Ga 2.91
Ga: 0.5000 0.1769 0.6045  2 Pd 2.61, 6 Li 2.64-2.85, 1 Ga 2.91
Ga: 0.5000 0.8231 0.3955  2 Pd 2.61, 6 Li 2.64-2.85, 1 Ga 2.91
Li: 0.0000 0.1214 0.2481  7 Li 2.69-2.96, 1 Pd 2.73, 2 Ga 2.85
Li: 0.5000 0.6848 0.6361  4 Ga 2.64-2.75, 4 Li 2.69-2.78
Li: 0.0000 0.5000 0.5000  2 Pd 2.69, 6 Li 2.69-2.78, 4 Ga 2.98
Li: 0.0000 0.3786 0.7481  7 Li 2.69-2.96, 1 Pd 2.73, 2 Ga 2.85
Li: 0.0000 0.8786 0.7519  7 Li 2.69-2.96, 1 Pd 2.73, 2 Ga 2.85
Li: 0.0000 0.0000 0.0000  2 Pd 2.69, 6 Li 2.69-2.78, 4 Ga 2.98
Li: 0.5000 0.3152 0.3639  4 Ga 2.64-2.75, 4 Li 2.69-2.78
Li: 0.5000 0.1848 0.8639  4 Ga 2.64-2.75, 4 Li 2.69-2.78
Li: 0.5000 0.8152 0.1361  4 Ga 2.64-2.75, 4 Li 2.69-2.78
Li: 0.0000 0.6214 0.2519  7 Li 2.69-2.96, 1 Pd 2.73, 2 Ga 2.85
Pd: 0.0000 0.0000 0.5000  4 Ga 2.61, 4 Li 2.69-2.73
Pd: 0.0000 0.5000 0.0000  4 Ga 2.61, 4 Li 2.69-2.73

Values from the calculation:
Its space group is Pbam. For the formation enthalpy at 0 K, the calculation gives -0.345 eV/atom. The value obtained for the electronic total energy is -47.15 eV/cell.



[4]
A relaxed structure of Zr2TiCoH, computed with PBE-GGA.

a b c (Å): 4.5382 4.5382 3.5994
angles (deg): 90.00 90.00 90.00
With the nearest neighbours (Å) after each atom.
Fractional coordinates of all 5 atoms:
H: 0.0000 0.0000 0.0000  2 Ti 1.80
Zr: 0.0000 0.5000 0.0000  2 H 2.27
Zr: 0.5000 0.0000 0.0000  2 H 2.27
Co: 0.5000 0.5000 0.5000  8 Zr 2.90, 4 Ti 3.21
Ti: 0.0000 0.0000 0.5000  2 H 1.80

Values from the calculation:
Its space group is P4/mmm. The value obtained for the electronic total energy is -35.97 eV/cell.